DFT (PBE-GGA) results for ReTe2Cl after structural relaxation.

Unit cell a=7.151 b=7.151 c=7.151 alpha=153.33 beta=138.71 gamma=49.84
Fractional coordinates of all 4 atoms:
Re: 0.000 0.000 0.000
Te: 0.159 0.659 0.500
Te: 0.526 0.526 0.000
Cl: 0.849 0.349 0.500

Properties
Crystal system = orthorhombic
ρ = 7.340 Mg/m³
Fermi-level density of states = 2.78 states/eV/cell
Total magnetization = 0.000 μB/f.u.
Energy relative to the lowest polymorph listed for this composition = 1.056 eV per formula unit

DFT (PBE-GGA) results for ReTe2Cl after structural relaxation.

Unit cell a=5.476 b=5.476 c=3.099 alpha=90.18 beta=90.18 gamma=89.98
Fractional coordinates of all 4 atoms:
Re: 0.000 0.000 0.000
Te: 0.000 0.500 0.000
Te: 0.500 0.000 0.000
Cl: 0.500 0.500 0.000

Properties
Crystal system = monoclinic
ρ = 8.522 Mg/m³
Fermi-level density of states = 3.75 states/eV/cell
Total magnetization = 0.000 μB/f.u.
Energy relative to the lowest polymorph listed for this composition = 2.397 eV per formula unit

DFT (PBE-GGA) results for ReTe2Cl after structural relaxation.

Unit cell a=3.213 b=3.213 c=9.424 alpha=90.00 beta=90.00 gamma=116.58
Fractional coordinates of all 4 atoms:
Re: 0.000 0.000 0.000
Te: 0.500 0.500 0.230
Te: 0.500 0.500 0.770
Cl: 0.000 0.000 0.500

Properties
Crystal system = orthorhombic
ρ = 9.104 Mg/m³
Fermi-level density of states = 3.63 states/eV/cell
Total magnetization = 0.001 μB/f.u.
Energy relative to the lowest polymorph listed for this composition = 1.710 eV per formula unit